Material: YZnPb
Method: DFT, GGA-PBE
State: relaxed

a = 4.571 Å, b = 4.571 Å, c = 4.113 Å
α = 90.00°, β = 90.00°, γ = 120.00°
Element x y z (fractional)
Y  0.000  0.000  0.000
Zn  0.667  0.333  0.352
Pb  0.333  0.667  0.553

raw total energy	-0.1524	hartree per atom
DFT formation energy	-0.33	eV/atom
D(E_F)	1.1	states/eV/cell